P.
{"formula": "Mg3TiC", "functional": "PBE", "state": "optimized geometry", "lattice": [[4.428, 0.000, 0.000], [0.000, 4.428, 0.000], [0.000, 0.000, 4.428]], "species": ["Mg", "Mg", "Mg", "Ti", "C"], "fractional_positions": [[0.000, 0.000, 0.500], [0.000, 0.500, 0.000], [0.500, 0.000, 0.000], [0.500, 0.500, 0.500], [0.000, 0.000, 0.000]], "spacegroup": "Pm-3m (221)", "volume_a3_per_atom": 17.36}



Q.
{"formula": "Mg3TiC", "functional": "PBE", "state": "optimized geometry", "lattice": [[5.444, 0.000, 0.000], [0.000, 5.444, 0.000], [0.000, 0.000, 5.444]], "species": ["Mg", "Mg", "Mg", "Ti", "C"], "fractional_positions": [[0.000, 0.000, 0.500], [0.000, 0.500, 0.000], [0.500, 0.000, 0.000], [0.000, 0.000, 0.000], [0.500, 0.500, 0.500]], "spacegroup": "Pm-3m (221)", "volume_a3_per_atom": 32.27}



Unit: kJ/mol of atoms. Relative energies: P 0.0; Q 166.8.



P.
{"formula": "Mg2TiC", "functional": "PBE", "state": "optimized geometry", "lattice": [[-3.998, 3.998, 2.125], [3.998, -3.998, 2.125], [3.998, 3.998, -2.125]], "species": ["Mg", "Mg", "Mg", "Mg", "Ti", "Ti", "C", "C"], "fractional_positions": [[0.001, 0.625, 0.876], [0.375, 0.251, 0.376], [0.749, 0.125, 0.124], [0.875, 0.999, 0.624], [0.250, 0.750, 0.500], [0.500, 0.500, 0.000], [0.000, 0.000, 0.000], [0.750, 0.250, 0.500]], "spacegroup": "I-42d (122)", "volume_a3_per_atom": 16.98}



Q.
{"formula": "Mg2TiC", "functional": "PBE", "state": "optimized geometry", "lattice": [[0.000, 3.175, 3.175], [3.175, 0.000, 3.175], [3.175, 3.175, 0.000]], "species": ["Mg", "Mg", "Ti", "C"], "fractional_positions": [[0.250, 0.250, 0.250], [0.750, 0.750, 0.750], [0.000, 0.000, 0.000], [0.500, 0.500, 0.500]], "spacegroup": "Fm-3m (225)", "volume_a3_per_atom": 16.01}



Unit: kJ/mol of atoms. Relative energies: P 0.0; Q 97.0.



P.
{"formula": "Mg3TlC", "functional": "PBE", "state": "optimized geometry", "lattice": [[5.338, 0.000, 0.000], [0.000, 5.338, 0.000], [0.000, 0.000, 5.338]], "species": ["Mg", "Mg", "Mg", "Tl", "C"], "fractional_positions": [[0.000, 0.000, 0.500], [0.000, 0.500, 0.000], [0.500, 0.000, 0.000], [0.000, 0.000, 0.000], [0.500, 0.500, 0.500]], "spacegroup": "Pm-3m (221)", "volume_a3_per_atom": 30.42}



Q.
{"formula": "Mg3TlC", "functional": "PBE", "state": "optimized geometry", "lattice": [[4.509, 0.000, 0.000], [0.000, 4.509, 0.000], [0.000, 0.000, 4.509]], "species": ["Mg", "Mg", "Mg", "Tl", "C"], "fractional_positions": [[0.000, 0.000, 0.500], [0.000, 0.500, 0.000], [0.500, 0.000, 0.000], [0.500, 0.500, 0.500], [0.000, 0.000, 0.000]], "spacegroup": "Pm-3m (221)", "volume_a3_per_atom": 18.34}



Unit: kJ/mol of atoms. Relative energies: P 129.5; Q 0.0.



P.
{"formula": "MgTl3C", "functional": "PBE", "state": "optimized geometry", "lattice": [[5.077, 0.000, 0.000], [0.000, 5.077, 0.000], [0.000, 0.000, 5.077]], "species": ["Mg", "Tl", "Tl", "Tl", "C"], "fractional_positions": [[0.000, 0.000, 0.000], [0.000, 0.500, 0.500], [0.500, 0.000, 0.500], [0.500, 0.500, 0.000], [0.500, 0.500, 0.500]], "spacegroup": "Pm-3m (221)", "volume_a3_per_atom": 26.17}



Q.
{"formula": "MgTl3C", "functional": "PBE", "state": "optimized geometry", "lattice": [[5.547, 0.000, 0.000], [0.000, 5.547, 0.000], [0.000, 0.000, 5.547]], "species": ["Mg", "Tl", "Tl", "Tl", "C"], "fractional_positions": [[0.000, 0.000, 0.000], [0.000, 0.000, 0.500], [0.000, 0.500, 0.000], [0.500, 0.000, 0.000], [0.500, 0.500, 0.500]], "spacegroup": "Pm-3m (221)", "volume_a3_per_atom": 34.14}



Unit: kJ/mol of atoms. Relative energies: P 0.0; Q 57.8.



P.
{"formula": "MgTl2C", "functional": "PBE", "state": "optimized geometry", "lattice": [[0.000, 3.493, 3.493], [3.493, 0.000, 3.493], [3.493, 3.493, 0.000]], "species": ["Mg", "Tl", "Tl", "C"], "fractional_positions": [[0.000, 0.000, 0.000], [0.250, 0.250, 0.250], [0.750, 0.750, 0.750], [0.500, 0.500, 0.500]], "spacegroup": "Fm-3m (225)", "volume_a3_per_atom": 21.32}



Q.
{"formula": "MgTl2C", "functional": "PBE", "state": "optimized geometry", "lattice": [[-3.297, 3.297, 4.670], [3.297, -3.297, 4.670], [3.297, 3.297, -4.670]], "species": ["Mg", "Mg", "Tl", "Tl", "Tl", "Tl", "C", "C"], "fractional_positions": [[0.000, 0.000, 0.000], [0.750, 0.250, 0.500], [0.210, 0.625, 0.085], [0.375, 0.460, 0.585], [0.540, 0.125, 0.915], [0.875, 0.790, 0.415], [0.250, 0.750, 0.500], [0.500, 0.500, 0.000]], "spacegroup": "I-42d (122)", "volume_a3_per_atom": 25.38}



Unit: kJ/mol of atoms. Relative energies: P 23.2; Q 0.0.



P.
{"formula": "YMg2TlC", "functional": "PBE", "state": "optimized geometry", "lattice": [[4.441, 0.000, 0.000], [0.000, 4.441, 0.000], [0.000, 0.000, 5.523]], "species": ["Y", "Mg", "Mg", "Tl", "C"], "fractional_positions": [[0.000, 0.000, 0.000], [0.000, 0.500, 0.500], [0.500, 0.000, 0.500], [0.500, 0.500, 0.000], [0.500, 0.500, 0.500]], "spacegroup": "P4/mmm (123)", "volume_a3_per_atom": 21.78}



Q.
{"formula": "YMg2TlC", "functional": "PBE", "state": "optimized geometry", "lattice": [[4.553, 0.000, 0.000], [0.000, 4.553, 0.000], [0.000, 0.000, 4.894]], "species": ["Y", "Mg", "Mg", "Tl", "C"], "fractional_positions": [[0.000, 0.000, 0.000], [0.000, 0.500, 0.500], [0.500, 0.000, 0.500], [0.500, 0.500, 0.000], [0.000, 0.000, 0.500]], "spacegroup": "P4/mmm (123)", "volume_a3_per_atom": 20.29}



Unit: kJ/mol of atoms. Relative energies: P 49.5; Q 0.0.



P.
{"formula": "Mg14VC", "functional": "PBE", "state": "optimized geometry", "lattice": [[6.262, 0.000, 0.000], [-3.131, 5.423, 0.000], [0.000, 0.000, 9.740]], "species": ["Mg", "Mg", "Mg", "Mg", "Mg", "Mg", "Mg", "Mg", "Mg", "Mg", "Mg", "Mg", "Mg", "Mg", "V", "C"], "fractional_positions": [[0.000, 0.000, 0.247], [0.000, 0.000, 0.753], [0.020, 0.510, 0.265], [0.020, 0.510, 0.735], [0.325, 0.163, 0.500], [0.339, 0.170, 0.000], [0.490, 0.510, 0.265], [0.490, 0.510, 0.735], [0.490, 0.980, 0.265], [0.490, 0.980, 0.735], [0.830, 0.170, 0.000], [0.830, 0.661, 0.000], [0.837, 0.163, 0.500], [0.837, 0.675, 0.500], [0.333, 0.667, 0.000], [0.333, 0.667, 0.500]], "spacegroup": "P-6m2 (187)", "volume_a3_per_atom": 20.67}



Q.
{"formula": "Mg14VC", "functional": "PBE", "state": "optimized geometry", "lattice": [[8.645, 0.000, 0.000], [0.000, 3.954, 5.104], [0.000, -3.954, 5.104]], "species": ["Mg", "Mg", "Mg", "Mg", "Mg", "Mg", "Mg", "Mg", "Mg", "Mg", "Mg", "Mg", "Mg", "Mg", "V", "C"], "fractional_positions": [[0.000, 0.000, 0.000], [0.000, 0.463, 0.463], [0.000, 0.536, 0.928], [0.000, 0.928, 0.536], [0.219, 0.223, 0.223], [0.289, 0.837, 0.837], [0.317, 0.364, 0.736], [0.317, 0.736, 0.364], [0.500, 0.121, 0.500], [0.500, 0.500, 0.121], [0.683, 0.364, 0.736], [0.683, 0.736, 0.364], [0.711, 0.837, 0.837], [0.781, 0.223, 0.223], [0.500, 0.052, 0.052], [0.500, 0.478, 0.478]], "spacegroup": "Amm2 (38)", "volume_a3_per_atom": 21.81}



Unit: kJ/mol of atoms. Relative energies: P 9.5; Q 0.0.



P.
{"formula": "Mg6VC", "functional": "PBE", "state": "optimized geometry", "lattice": [[3.099, 0.000, 0.000], [0.000, 4.947, 5.209], [0.000, -4.947, 5.209]], "species": ["Mg", "Mg", "Mg", "Mg", "Mg", "Mg", "V", "C"], "fractional_positions": [[0.000, 0.000, 0.000], [0.000, 0.571, 0.878], [0.000, 0.878, 0.571], [0.500, 0.230, 0.703], [0.500, 0.259, 0.259], [0.500, 0.703, 0.230], [0.000, 0.504, 0.504], [0.500, 0.615, 0.615]], "spacegroup": "Amm2 (38)", "volume_a3_per_atom": 19.96}



Q.
{"formula": "Mg6VC", "functional": "PBE", "state": "optimized geometry", "lattice": [[4.508, 0.000, 0.000], [0.000, 2.885, 5.927], [0.000, -2.885, 5.927]], "species": ["Mg", "Mg", "Mg", "Mg", "Mg", "Mg", "V", "C"], "fractional_positions": [[0.000, 0.000, 0.000], [0.000, 0.030, 0.508], [0.000, 0.493, 0.493], [0.000, 0.508, 0.030], [0.500, 0.361, 0.873], [0.500, 0.873, 0.361], [0.500, 0.854, 0.854], [0.500, 0.271, 0.271]], "spacegroup": "Amm2 (38)", "volume_a3_per_atom": 19.27}



Unit: kJ/mol of atoms. Relative energies: P 0.0; Q 40.4.



P.
{"formula": "Mg3VC", "functional": "PBE", "state": "optimized geometry", "lattice": [[4.449, 0.000, 0.000], [0.000, 4.449, 0.000], [0.000, 0.000, 4.449]], "species": ["Mg", "Mg", "Mg", "V", "C"], "fractional_positions": [[0.000, 0.000, 0.500], [0.000, 0.500, 0.000], [0.500, 0.000, 0.000], [0.500, 0.500, 0.500], [0.000, 0.000, 0.000]], "spacegroup": "Pm-3m (221)", "volume_a3_per_atom": 17.61}



Q.
{"formula": "Mg3VC", "functional": "PBE", "state": "optimized geometry", "lattice": [[5.312, 0.000, 0.000], [0.000, 5.312, 0.000], [0.000, 0.000, 5.312]], "species": ["Mg", "Mg", "Mg", "V", "C"], "fractional_positions": [[0.000, 0.000, 0.500], [0.000, 0.500, 0.000], [0.500, 0.000, 0.000], [0.000, 0.000, 0.000], [0.500, 0.500, 0.500]], "spacegroup": "Pm-3m (221)", "volume_a3_per_atom": 29.98}



Unit: kJ/mol of atoms. Relative energies: P 0.0; Q 146.8.



P.
{"formula": "Mg3WC", "functional": "PBE", "state": "optimized geometry", "lattice": [[4.375, 0.000, 0.000], [0.000, 4.375, 0.000], [0.000, 0.000, 4.375]], "species": ["Mg", "Mg", "Mg", "W", "C"], "fractional_positions": [[0.000, 0.000, 0.500], [0.000, 0.500, 0.000], [0.500, 0.000, 0.000], [0.500, 0.500, 0.500], [0.000, 0.000, 0.000]], "spacegroup": "Pm-3m (221)", "volume_a3_per_atom": 16.75}



Q.
{"formula": "Mg3WC", "functional": "PBE", "state": "optimized geometry", "lattice": [[5.355, 0.000, 0.000], [0.000, 5.355, 0.000], [0.000, 0.000, 5.355]], "species": ["Mg", "Mg", "Mg", "W", "C"], "fractional_positions": [[0.000, 0.000, 0.500], [0.000, 0.500, 0.000], [0.500, 0.000, 0.000], [0.000, 0.000, 0.000], [0.500, 0.500, 0.500]], "spacegroup": "Pm-3m (221)", "volume_a3_per_atom": 30.71}



Unit: kJ/mol of atoms. Relative energies: P 0.0; Q 149.5.



P.
{"formula": "MgWC3", "functional": "PBE", "state": "optimized geometry", "lattice": [[3.864, 0.000, 0.000], [0.000, 3.864, 0.000], [0.000, 0.000, 3.864]], "species": ["Mg", "W", "C", "C", "C"], "fractional_positions": [[0.000, 0.000, 0.000], [0.500, 0.500, 0.500], [0.000, 0.000, 0.500], [0.000, 0.500, 0.000], [0.500, 0.000, 0.000]], "spacegroup": "Pm-3m (221)", "volume_a3_per_atom": 11.54}



Q.
{"formula": "MgWC3", "functional": "PBE", "state": "optimized geometry", "lattice": [[4.098, 0.000, 0.000], [0.000, 4.098, 0.000], [0.000, 0.000, 4.098]], "species": ["Mg", "W", "C", "C", "C"], "fractional_positions": [[0.000, 0.000, 0.000], [0.500, 0.500, 0.500], [0.000, 0.500, 0.500], [0.500, 0.000, 0.500], [0.500, 0.500, 0.000]], "spacegroup": "Pm-3m (221)", "volume_a3_per_atom": 13.77}



Unit: kJ/mol of atoms. Relative energies: P 161.6; Q 0.0.



P.
{"formula": "Mg2WC2", "functional": "PBE", "state": "optimized geometry", "lattice": [[5.951, 0.000, 0.000], [0.000, 5.951, 0.000], [0.000, 0.000, 3.358]], "species": ["Mg", "Mg", "Mg", "Mg", "W", "W", "C", "C", "C", "C"], "fractional_positions": [[0.152, 0.348, 0.000], [0.348, 0.848, 0.000], [0.652, 0.152, 0.000], [0.848, 0.652, 0.000], [0.000, 0.000, 0.500], [0.500, 0.500, 0.500], [0.173, 0.673, 0.500], [0.327, 0.173, 0.500], [0.673, 0.827, 0.500], [0.827, 0.327, 0.500]], "spacegroup": "P4/mbm (127)", "volume_a3_per_atom": 11.89}



Q.
{"formula": "Mg2WC2", "functional": "PBE", "state": "optimized geometry", "lattice": [[-1.741, 1.741, 4.671], [1.741, -1.741, 4.671], [1.741, 1.741, -4.671]], "species": ["Mg", "Mg", "W", "C", "C"], "fractional_positions": [[0.250, 0.750, 0.500], [0.750, 0.250, 0.500], [0.000, 0.000, 0.000], [0.423, 0.423, 0.000], [0.577, 0.577, 0.000]], "spacegroup": "I4/mmm (139)", "volume_a3_per_atom": 11.32}



Unit: kJ/mol of atoms. Relative energies: P 0.0; Q 46.5.



P.
{"formula": "YMg3C", "functional": "PBE", "state": "optimized geometry", "lattice": [[4.632, 0.000, 0.000], [0.000, 4.632, 0.000], [0.000, 0.000, 4.632]], "species": ["Y", "Mg", "Mg", "Mg", "C"], "fractional_positions": [[0.000, 0.000, 0.000], [0.000, 0.500, 0.500], [0.500, 0.000, 0.500], [0.500, 0.500, 0.000], [0.500, 0.500, 0.500]], "spacegroup": "Pm-3m (221)", "volume_a3_per_atom": 19.87}



Q.
{"formula": "YMg3C", "functional": "PBE", "state": "optimized geometry", "lattice": [[6.238, 0.000, 0.000], [0.000, 6.238, 0.000], [0.000, 0.000, 6.238]], "species": ["Y", "Mg", "Mg", "Mg", "C"], "fractional_positions": [[0.000, 0.000, 0.000], [0.000, 0.000, 0.500], [0.000, 0.500, 0.000], [0.500, 0.000, 0.000], [0.500, 0.500, 0.500]], "spacegroup": "Pm-3m (221)", "volume_a3_per_atom": 48.55}



Unit: kJ/mol of atoms. Relative energies: P 0.0; Q 185.0.